*i*
TbPm6Tm12: optimized geometry, PBE-GGA.

Geometry as POSCAR:
```
TbPm6Tm12
1.0
8.572 -0.156 -1.181
-1.334 8.469 -1.181
-0.136 -0.156 8.652
Pm Tm Tb
6 12 1
Direct
0.099 0.099 0.655 Pm
0.655 0.099 0.099 Pm
0.901 0.901 0.345 Pm
0.099 0.655 0.099 Pm
0.901 0.345 0.901 Pm
0.345 0.901 0.901 Pm
0.244 0.500 0.756 Tm
0.081 0.355 0.355 Tm
0.756 0.244 0.500 Tm
0.645 0.919 0.645 Tm
0.244 0.756 0.500 Tm
0.355 0.081 0.355 Tm
0.645 0.645 0.919 Tm
0.500 0.756 0.244 Tm
0.500 0.244 0.756 Tm
0.919 0.645 0.645 Tm
0.355 0.355 0.081 Tm
0.756 0.500 0.244 Tm
0.000 0.000 0.000 Tb
```

Calculated values
Mass density in g/cm³: 8.1

*ii*
TbPm6Tm12: optimized geometry, PBE-GGA.

Geometry as POSCAR:
```
TbPm6Tm12
1.0
-7.796 -2.439 2.640
-2.145 -5.395 -6.324
1.907 -7.517 3.681
Tm Pm Tb
12 6 1
Direct
0.804 0.486 0.486 Tm
0.517 0.863 0.863 Tm
0.514 0.514 0.196 Tm
0.137 0.483 0.137 Tm
0.863 0.863 0.517 Tm
0.483 0.137 0.137 Tm
0.137 0.137 0.483 Tm
0.196 0.514 0.514 Tm
0.514 0.196 0.514 Tm
0.486 0.486 0.804 Tm
0.863 0.517 0.863 Tm
0.486 0.804 0.486 Tm
0.768 0.164 0.768 Pm
0.232 0.232 0.836 Pm
0.232 0.836 0.232 Pm
0.836 0.232 0.232 Pm
0.164 0.768 0.768 Pm
0.768 0.768 0.164 Pm
0.000 0.000 0.000 Tb
```

Calculated values
Mass density in g/cm³: 8.4

The most stable arrangement is *ii*, and the next structure is 97 meV/atom less stable.